Entry 1:
20
Lattice="6.629 -0.929 -1.080 -1.734 6.465 -1.080 -2.431 -2.749 6.969" Properties=species:S:1:pos:R:3 comment="SrCdH6Pt2, relaxed, DFT GGA-PBE" spacegroup=C2/c e_tot_ev_per_cell=-75.89 pbc="T T T"
H 2.219 5.125 -1.043
H 3.599 1.455 2.441
H 4.818 1.522 -1.015
H -1.135 1.332 2.367
H 0.245 -2.338 5.851
H 2.759 -0.806 2.339
H 2.236 1.939 4.194
H -0.402 -1.045 4.098
H -2.353 1.264 5.823
H 0.228 0.848 0.614
H -0.294 3.593 2.469
H 2.866 3.832 0.710
Cd 2.562 1.442 0.662
Cd -0.098 1.344 4.146
Pt 1.016 -1.131 4.992
Pt 1.448 3.918 -0.184
Pt 2.495 0.542 3.300
Pt -0.031 2.244 1.508
Sr 3.965 -2.248 4.146
Sr -1.501 5.034 0.662

***

Entry 2:
5
Lattice="3.598 0.000 0.000 0.000 6.438 0.000 0.000 0.000 3.598" Properties=species:S:1:pos:R:3 comment="TiCdH2Pt, relaxed, DFT GGA-PBE" spacegroup=P4/mmm e_tot_ev_per_cell=-19.41 pbc="T T T"
Pt 1.799 3.219 1.799
Ti 0.000 3.219 0.000
H 1.799 0.000 0.000
H 0.000 0.000 1.799
Cd 0.000 0.000 0.000

***

Entry 3:
5
Lattice="-0.866 -5.549 -0.162 4.615 -0.811 3.100 -1.907 0.213 2.894" Properties=species:S:1:pos:R:3 comment="Tl2CdHPt, relaxed, DFT GGA-PBE" spacegroup=P4/mmm e_tot_ev_per_cell=-14.82 pbc="T T T"
H -0.953 0.107 1.447
Pt 0.000 0.000 0.000
Tl 2.307 -0.406 1.550
Tl -0.433 -2.774 -0.081
Cd 0.921 -3.073 2.916

***

Entry 4:
9
Lattice="-0.429 -4.596 1.712 3.042 -1.611 3.519 -3.659 1.831 4.001" Properties=species:S:1:pos:R:3 comment="TlCdH6Pt, relaxed, DFT GGA-PBE" spacegroup=P312 e_tot_ev_per_cell=-28.99 pbc="T T T"
H 0.544 -1.916 3.919
H -2.451 -0.371 3.570
H -1.773 -2.025 4.947
H -0.161 -0.286 2.527
H -0.728 -0.025 4.987
H -1.181 -2.298 2.516
Pt -0.958 -1.153 3.744
Tl -3.658 1.830 4.003
Cd -0.088 -3.222 5.488

***

Entry 5:
5
Lattice="-1.344 4.892 -0.161 -4.135 -1.225 -2.678 -1.937 -0.427 3.187" Properties=species:S:1:pos:R:3 comment="Y2CdHPt, relaxed, DFT GGA-PBE" spacegroup=P4/mmm e_tot_ev_per_cell=-26.49 pbc="T T T"
Pt -0.969 -0.214 1.593
Y -2.067 -0.612 -1.339
Y -0.672 2.446 -0.081
Cd -3.708 1.620 0.174
H 0.000 0.000 0.000

***

Entry 6:
5
Lattice="4.057 0.000 0.000 0.000 4.057 0.000 0.000 0.000 4.113" Properties=species:S:1:pos:R:3 comment="ZnCdHPt2, relaxed, DFT GGA-PBE" spacegroup=P4/mmm e_tot_ev_per_cell=-18.54 pbc="T T T"
Zn 0.000 0.000 2.056
Pt 0.000 2.028 0.000
Pt 2.028 0.000 0.000
Cd 2.028 2.028 2.056
H 0.000 0.000 0.000